{"formula": "AlCoTe2F", "functional": "PBE+U", "state": "relaxed", "crystal_system": "tetragonal", "n_ef_per_ev_cell": 5.83, "energy_ev_per_atom": -3.289, "lattice": [[5.648, 0.000, 0.000], [0.000, 5.648, 0.000], [0.000, 0.000, 3.674]], "species": ["Al", "Co", "Te", "Te", "F"], "frac_coords": [[0.000, 0.000, 0.000], [0.500, 0.500, 0.000], [0.000, 0.500, 0.500], [0.500, 0.000, 0.500], [0.500, 0.500, 0.500]]}